# 1
Entry from Alexandria via LeMat-Bulk: a relaxed structure of Nd3TeP2 (PBE).

Cell and atoms, written as POSCAR:
```
Nd3TeP2
1.0
-3.762 5.873 4.324
3.762 -5.873 4.324
3.762 5.873 -4.324
Nd Te P
6 2 4
direct
0.000 0.232 0.232 Nd
0.000 0.768 0.768 Nd
0.500 0.000 0.000 Nd
0.500 0.232 0.732 Nd
0.500 0.500 0.500 Nd
0.500 0.768 0.268 Nd
0.176 0.926 0.250 Te
0.824 0.074 0.750 Te
0.274 0.712 0.561 P
0.349 0.288 0.061 P
0.651 0.712 0.939 P
0.726 0.288 0.439 P
```

DOS at the Fermi energy = 2.18 states/eV/f.u.
volume = 191.1 Å³/f.u.
formation energy from raw total energies = -107.2 kJ/mol of atoms

=====

# 2
Entry from Alexandria via LeMat-Bulk: a relaxed structure of Nd8TeP6 (PBE).

Cell and atoms, written as POSCAR:
```
Nd8TeP6
1.0
10.737 0.000 0.000
-5.369 9.299 0.000
0.000 0.000 4.290
Nd Te P
8 1 6
direct
0.034 0.684 0.244 Nd
0.316 0.350 0.244 Nd
0.333 0.667 0.751 Nd
0.350 0.034 0.756 Nd
0.650 0.966 0.244 Nd
0.667 0.333 0.249 Nd
0.684 0.650 0.756 Nd
0.966 0.316 0.756 Nd
0.000 0.000 0.000 Te
0.137 0.478 0.255 P
0.341 0.863 0.255 P
0.478 0.341 0.745 P
0.522 0.659 0.255 P
0.659 0.137 0.745 P
0.863 0.522 0.745 P
```

DOS at the Fermi energy = 9.57 states/eV/f.u.
volume = 428.3 Å³/f.u.
formation energy from raw total energies = -122.4 kJ/mol of atoms

=====

# 3
Entry from Alexandria via LeMat-Bulk: a relaxed structure of Nd7Te4P4 (PBE).

Cell and atoms, written as POSCAR:
```
Nd7Te4P4
1.0
-7.584 7.584 3.770
7.584 -7.584 3.770
7.584 7.584 -3.770
Nd Te P
14 8 8
direct
0.000 0.288 0.288 Nd
0.000 0.712 0.712 Nd
0.134 0.500 0.634 Nd
0.243 0.243 0.000 Nd
0.285 0.285 0.571 Nd
0.285 0.715 0.000 Nd
0.288 0.000 0.288 Nd
0.500 0.134 0.634 Nd
0.500 0.866 0.366 Nd
0.712 0.000 0.712 Nd
0.715 0.285 0.000 Nd
0.715 0.715 0.429 Nd
0.757 0.757 0.000 Nd
0.866 0.500 0.366 Nd
0.128 0.128 0.255 Te
0.128 0.872 0.000 Te
0.331 0.500 0.831 Te
0.500 0.331 0.831 Te
0.500 0.669 0.169 Te
0.669 0.500 0.169 Te
0.872 0.128 0.000 Te
0.872 0.872 0.745 Te
0.106 0.606 0.211 P
0.106 0.894 0.500 P
0.394 0.606 0.500 P
0.394 0.894 0.789 P
0.606 0.106 0.211 P
0.606 0.394 0.500 P
0.894 0.106 0.500 P
0.894 0.394 0.789 P
```

DOS at the Fermi energy = 3.64 states/eV/f.u.
volume = 433.6 Å³/f.u.
formation energy from raw total energies = -127.3 kJ/mol of atoms

=====

# 4
Entry from Alexandria via LeMat-Bulk: a relaxed structure of NdThTeP (PBE).

Cell and atoms, written as POSCAR:
```
NdThTeP
1.0
2.102 1.214 7.491
-2.102 1.214 7.491
0.000 -2.427 7.491
Nd Th Te P
1 1 1 1
direct
0.000 0.000 0.000 Nd
0.804 0.804 0.804 Th
0.235 0.235 0.235 Te
0.404 0.404 0.404 P
```

DOS at the Fermi energy = 0.61 states/eV/f.u.
volume = 114.7 Å³/f.u.
formation energy from raw total energies = -141.9 kJ/mol of atoms

=====

# 5
Entry from Alexandria via LeMat-Bulk: a relaxed structure of Nd6TlTe3P2 (PBE).

Cell and atoms, written as POSCAR:
```
Nd6TlTe3P2
1.0
9.643 -2.157 0.000
9.643 2.157 0.000
-2.251 0.000 8.684
Nd Tl Te P
6 1 3 2
direct
0.011 0.011 0.256 Nd
0.325 0.325 0.437 Nd
0.331 0.331 0.889 Nd
0.669 0.669 0.111 Nd
0.675 0.675 0.563 Nd
0.989 0.989 0.744 Nd
0.500 0.500 0.000 Tl
0.164 0.164 0.831 Te
0.500 0.500 0.500 Te
0.836 0.836 0.169 Te
0.169 0.169 0.337 P
0.831 0.831 0.663 P
```

DOS at the Fermi energy = 4.32 states/eV/f.u.
volume = 361.2 Å³/f.u.
formation energy from raw total energies = -127.5 kJ/mol of atoms

=====

# 6
Entry from Alexandria via LeMat-Bulk: a relaxed structure of Nd4TlTe2P (PBE).

Cell and atoms, written as POSCAR:
```
Nd4TlTe2P
1.0
7.723 0.000 0.000
0.000 4.334 0.000
-2.453 0.000 7.350
Nd Tl Te P
4 1 2 1
direct
0.228 0.000 0.222 Nd
0.241 0.500 0.761 Nd
0.759 0.500 0.239 Nd
0.772 0.000 0.778 Nd
0.500 0.000 0.000 Tl
0.000 0.000 0.500 Te
0.500 0.500 0.500 Te
0.000 0.500 0.000 P
```

DOS at the Fermi energy = 2.80 states/eV/f.u.
volume = 246.0 Å³/f.u.
formation energy from raw total energies = -115.3 kJ/mol of atoms

=====

# 7
Entry from Alexandria via LeMat-Bulk: a relaxed structure of NdTmTeP (PBE).

Cell and atoms, written as POSCAR:
```
NdTmTeP
1.0
2.060 1.189 7.299
-2.060 1.189 7.299
0.000 -2.379 7.299
Nd Tm Te P
1 1 1 1
direct
0.000 0.000 0.000 Nd
0.807 0.807 0.807 Tm
0.232 0.232 0.232 Te
0.410 0.410 0.410 P
```

DOS at the Fermi energy = 2.84 states/eV/f.u.
volume = 107.3 Å³/f.u.
formation energy from raw total energies = -146.6 kJ/mol of atoms

=====

# 8
Entry from Alexandria via LeMat-Bulk: a relaxed structure of NdYTeP (PBE).

Cell and atoms, written as POSCAR:
```
NdYTeP
1.0
2.075 1.198 7.365
-2.075 1.198 7.365
0.000 -2.396 7.365
Nd Y Te P
1 1 1 1
direct
0.000 0.000 0.000 Nd
0.807 0.807 0.807 Y
0.233 0.233 0.233 Te
0.408 0.408 0.408 P
```

DOS at the Fermi energy = 2.85 states/eV/f.u.
volume = 109.8 Å³/f.u.
formation energy from raw total energies = -149.6 kJ/mol of atoms

=====

# 9
Entry from Alexandria via LeMat-Bulk: a relaxed structure of Nd4ZnTe2P (PBE).

Cell and atoms, written as POSCAR:
```
Nd4ZnTe2P
1.0
7.589 0.000 0.000
0.000 4.281 0.000
-2.424 0.000 7.252
Nd Zn Te P
4 1 2 1
direct
0.230 0.000 0.221 Nd
0.248 0.500 0.768 Nd
0.752 0.500 0.232 Nd
0.770 0.000 0.779 Nd
0.500 0.000 0.000 Zn
0.000 0.000 0.500 Te
0.500 0.500 0.500 Te
0.000 0.500 0.000 P
```

DOS at the Fermi energy = 6.49 states/eV/f.u.
volume = 235.6 Å³/f.u.
formation energy from raw total energies = -112.7 kJ/mol of atoms

=====

# 10
Entry from Alexandria via LeMat-Bulk: a relaxed structure of NdTh4P6 (PBE).

Cell and atoms, written as POSCAR:
```
NdTh4P6
1.0
5.719 3.302 4.714
-5.719 3.302 4.714
0.000 -6.604 4.714
Nd Th P
2 8 12
direct
0.000 0.000 0.000 Nd
0.500 0.500 0.500 Nd
0.132 0.750 0.368 Th
0.250 0.250 0.250 Th
0.250 0.632 0.868 Th
0.368 0.132 0.750 Th
0.632 0.868 0.250 Th
0.750 0.368 0.132 Th
0.750 0.750 0.750 Th
0.868 0.250 0.632 Th
0.065 0.913 0.674 P
0.087 0.326 0.935 P
0.174 0.413 0.565 P
0.326 0.935 0.087 P
0.413 0.565 0.174 P
0.435 0.826 0.587 P
0.565 0.174 0.413 P
0.587 0.435 0.826 P
0.674 0.065 0.913 P
0.826 0.587 0.435 P
0.913 0.674 0.065 P
0.935 0.087 0.326 P
```

DOS at the Fermi energy = 4.42 states/eV/f.u.
volume = 267.1 Å³/f.u.
formation energy from the elements = -1.236 eV per atom

=====

# 11
Entry from Alexandria via LeMat-Bulk: a relaxed structure of NdThP (PBE).

Cell and atoms, written as POSCAR:
```
NdThP
1.0
3.976 0.000 0.000
-1.988 3.444 0.000
0.000 0.000 6.677
Nd Th P
1 1 1
direct
0.000 0.000 0.000 Nd
0.667 0.333 0.491 Th
0.333 0.667 0.745 P
```

DOS at the Fermi energy = 2.11 states/eV/f.u.
volume = 91.4 Å³/f.u.
formation energy from the elements = -0.837 eV per atom

=====

# 12
Entry from Alexandria via LeMat-Bulk: a relaxed structure of NdThP (PBE).

Cell and atoms, written as POSCAR:
```
NdThP
1.0
4.033 0.000 0.000
0.000 5.800 0.000
-1.982 0.000 7.745
Nd Th P
2 2 2
direct
0.065 0.250 0.124 Nd
0.935 0.750 0.876 Nd
0.321 0.250 0.643 Th
0.679 0.750 0.357 Th
0.307 0.750 0.617 P
0.693 0.250 0.383 P
```

DOS at the Fermi energy = 3.83 states/eV/f.u.
volume = 90.6 Å³/f.u.
formation energy from the elements = -0.880 eV per atom

=====

# 13
Entry from Alexandria via LeMat-Bulk: a relaxed structure of NdTh3P4 (PBE).

Cell and atoms, written as POSCAR:
```
NdTh3P4
1.0
5.862 0.000 0.000
0.000 5.862 0.000
0.000 0.000 5.862
Nd Th P
1 3 4
direct
0.000 0.000 0.000 Nd
0.000 0.500 0.500 Th
0.500 0.000 0.500 Th
0.500 0.500 0.000 Th
0.000 0.000 0.500 P
0.000 0.500 0.000 P
0.500 0.000 0.000 P
0.500 0.500 0.500 P
```

DOS at the Fermi energy = 2.77 states/eV/f.u.
volume = 201.5 Å³/f.u.
formation energy from the elements = -1.563 eV per atom

=====

# 14
Entry from Alexandria via LeMat-Bulk: a relaxed structure of Nd5Th3P8 (PBE).

Cell and atoms, written as POSCAR:
```
Nd5Th3P8
1.0
4.161 2.402 6.786
-4.161 2.402 6.786
0.000 -4.804 6.786
Nd Th P
5 3 8
direct
0.000 0.000 0.000 Nd
0.000 0.500 0.500 Nd
0.500 0.000 0.500 Nd
0.500 0.500 0.000 Nd
0.500 0.500 0.500 Nd
0.000 0.000 0.500 Th
0.000 0.500 0.000 Th
0.500 0.000 0.000 Th
0.246 0.750 0.750 P
0.249 0.249 0.249 P
0.250 0.250 0.754 P
0.250 0.754 0.250 P
0.750 0.246 0.750 P
0.750 0.750 0.246 P
0.751 0.751 0.751 P
0.754 0.250 0.250 P
```

DOS at the Fermi energy = 5.35 states/eV/f.u.
volume = 406.9 Å³/f.u.
formation energy from the elements = -1.571 eV per atom

=====

# 15
Entry from Alexandria via LeMat-Bulk: a relaxed structure of Nd2Th2P5 (PBE).

Cell and atoms, written as POSCAR:
```
Nd2Th2P5
1.0
7.185 -3.862 0.000
7.185 3.862 0.000
0.000 0.000 7.758
Nd Th P
4 4 10
direct
0.156 0.844 0.841 Nd
0.344 0.656 0.341 Nd
0.656 0.344 0.659 Nd
0.844 0.156 0.159 Nd
0.195 0.195 0.500 Th
0.305 0.305 0.000 Th
0.695 0.695 0.000 Th
0.805 0.805 0.500 Th
0.000 0.000 0.500 P
0.015 0.702 0.153 P
0.202 0.515 0.653 P
0.298 0.985 0.153 P
0.485 0.798 0.653 P
0.500 0.500 0.000 P
0.515 0.202 0.347 P
0.702 0.015 0.847 P
0.798 0.485 0.347 P
0.985 0.298 0.847 P
```

DOS at the Fermi energy = 4.94 states/eV/f.u.
volume = 215.3 Å³/f.u.
formation energy from the elements = -1.278 eV per atom

=====

# 16
Entry from Alexandria via LeMat-Bulk: a relaxed structure of NdTh5P6 (PBE).

Cell and atoms, written as POSCAR:
```
NdTh5P6
1.0
3.589 -6.218 0.000
3.589 6.218 0.000
-2.394 0.000 6.771
Nd Th P
1 5 6
direct
0.000 0.000 0.000 Nd
0.166 0.834 0.500 Th
0.334 0.666 0.000 Th
0.500 0.500 0.500 Th
0.666 0.334 0.000 Th
0.834 0.166 0.500 Th
0.084 0.419 0.251 P
0.252 0.252 0.749 P
0.419 0.084 0.251 P
0.581 0.916 0.749 P
0.748 0.748 0.251 P
0.916 0.581 0.749 P
```

DOS at the Fermi energy = 6.19 states/eV/f.u.
volume = 302.2 Å³/f.u.
formation energy from the elements = -1.556 eV per atom

=====

# 17
Entry from Alexandria via LeMat-Bulk: a relaxed structure of Nd2Th3P4 (PBE).

Cell and atoms, written as POSCAR:
```
Nd2Th3P4
1.0
5.783 -4.905 0.000
5.783 4.905 0.000
-0.037 0.000 8.753
Nd Th P
4 6 8
direct
0.032 0.693 0.876 Nd
0.307 0.968 0.624 Nd
0.693 0.032 0.376 Nd
0.968 0.307 0.124 Nd
0.120 0.880 0.250 Th
0.262 0.472 0.449 Th
0.472 0.262 0.949 Th
0.528 0.738 0.051 Th
0.738 0.528 0.551 Th
0.880 0.120 0.750 Th
0.005 0.222 0.447 P
0.222 0.005 0.947 P
0.245 0.527 0.121 P
0.473 0.755 0.379 P
0.527 0.245 0.621 P
0.755 0.473 0.879 P
0.778 0.995 0.053 P
0.995 0.778 0.553 P
```

DOS at the Fermi energy = 6.00 states/eV/f.u.
volume = 248.3 Å³/f.u.
formation energy from the elements = -1.128 eV per atom

=====

# 18
Entry from Alexandria via LeMat-Bulk: a relaxed structure of Nd3TmTh2P6 (PBE).

Cell and atoms, written as POSCAR:
```
Nd3TmTh2P6
1.0
9.001 -2.066 0.000
9.001 2.066 0.000
-1.923 0.000 8.022
Nd Tm Th P
3 1 2 6
direct
0.000 0.000 0.000 Nd
0.334 0.334 0.666 Nd
0.666 0.666 0.334 Nd
0.000 0.000 0.500 Tm
0.336 0.336 0.171 Th
0.664 0.664 0.829 Th
0.163 0.163 0.584 P
0.168 0.168 0.081 P
0.500 0.500 0.259 P
0.500 0.500 0.741 P
0.832 0.832 0.919 P
0.837 0.837 0.416 P
```

DOS at the Fermi energy = 3.92 states/eV/f.u.
volume = 298.3 Å³/f.u.
formation energy from the elements = -1.567 eV per atom

=====

# 19
Entry from Alexandria via LeMat-Bulk: a relaxed structure of NdTm3Th2P6 (PBE).

Cell and atoms, written as POSCAR:
```
NdTm3Th2P6
1.0
8.814 -2.031 0.000
8.814 2.031 0.000
-1.804 0.000 7.877
Nd Tm Th P
1 3 2 6
direct
0.000 0.000 0.000 Nd
0.000 0.000 0.500 Tm
0.334 0.334 0.166 Tm
0.666 0.666 0.834 Tm
0.334 0.334 0.669 Th
0.666 0.666 0.331 Th
0.165 0.165 0.589 P
0.170 0.170 0.078 P
0.498 0.498 0.259 P
0.502 0.502 0.741 P
0.830 0.830 0.922 P
0.835 0.835 0.411 P
```

DOS at the Fermi energy = 3.71 states/eV/f.u.
volume = 282.0 Å³/f.u.
formation energy from the elements = -1.579 eV per atom

=====

# 20
Entry from Alexandria via LeMat-Bulk: a relaxed structure of NdTmTh2P4 (PBE).

Cell and atoms, written as POSCAR:
```
NdTmTh2P4
1.0
7.076 0.000 0.000
0.000 4.113 0.000
-2.398 0.000 6.712
Nd Tm Th P
1 1 2 4
direct
0.000 0.000 0.000 Nd
0.000 0.500 0.500 Tm
0.500 0.000 0.500 Th
0.500 0.500 0.000 Th
0.244 0.000 0.742 P
0.249 0.500 0.255 P
0.751 0.500 0.745 P
0.756 0.000 0.258 P
```

DOS at the Fermi energy = 3.90 states/eV/f.u.
volume = 195.4 Å³/f.u.
formation energy from the elements = -1.557 eV per atom